CrBiO3: optimized geometry, GGA+U.

Cell: 5.6876 7.8350 5.4640 Å, 90.00 90.00 90.00°
Space group Pnma (No. 62)
Unique sites:
Cr: 0.0000 0.0000 0.0000 x4
Bi: 0.0529 0.2500 0.4897 x4
O: 0.0288 0.7500 0.0949 x4
O: 0.2004 0.5459 0.6961 x8

Properties
Crystal system: orthorhombic
Electronic total energy in eV/atom: -6.834
Magnetic moment in μB per formula unit: 3.00